Ga2CoH2: optimized geometry, PBE.

Structure (POSCAR):
```
Ga2CoH2
1.0
-4.786 -1.428 0.848
1.475 -4.844 0.171
0.586 0.313 3.833
H Co Ga
4 2 4
Cartesian
-0.934 -1.510 0.266
-0.034 -3.884 0.323
-2.378 -4.762 0.753
-3.277 -2.388 0.696
0.000 0.000 0.000
-1.656 -3.136 0.509
0.408 -3.444 2.193
-1.802 -4.759 2.639
-0.923 -1.199 2.213
-3.133 -2.514 2.658
```

symmetry = No. 127
distance to the lowest polymorph of the same formula = 0.00 eV per formula unit
VASP energy = -38.13 eV for the cell shown